[1]
# RbY3I

An optimized crystal structure of RbY3I (PBEsol, Alexandria via LeMat-Bulk).

formation energy from raw total energies: 0.349 eV/atom
spin magnetization: 0.03 μB/f.u.
crystal system: cubic

a = 5.7845 Å, b = 5.7845 Å, c = 5.7845 Å
α = 90.00°, β = 90.00°, γ = 90.00°
With the nearest neighbours (Å) after each atom.
Space group Pm-3m (No. 221)
Symmetry-distinct sites (fractional):
Rb 0.0000 0.0000 0.0000 [1 per cell]  12 Y 4.09
Y 0.0000 0.5000 0.5000 [3 per cell]  2 I 2.89
I 0.5000 0.5000 0.5000 [1 per cell]  6 Y 2.89



[2]
# InTeF2

An optimized crystal structure of InTeF2 (PBEsol, Alexandria via LeMat-Bulk).

formation energy from raw total energies: -1.051 eV/atom
spin magnetization: 0.00 μB/f.u.
crystal system: trigonal

a = 3.0985 Å, b = 3.0985 Å, c = 25.4022 Å
α = 90.00°, β = 90.00°, γ = 120.00°
With the nearest neighbours (Å) after each atom.
Space group R-3m (No. 166, hexagonal axes)
Symmetry-distinct sites (fractional):
In 0.0000 0.0000 0.0000 [3 per cell]  2 F 2.20
Te 0.0000 0.0000 0.5000 [3 per cell]  6 F 2.71
F 0.0000 0.0000 0.0864 [6 per cell]  1 In 2.20